## LiBe2Se (GGA-PBE)

Data for LiBe2Se after structural relaxation.

Unit cell a=7.1422 b=7.1422 c=4.7169 alpha=90.00 beta=90.00 gamma=90.00
With the nearest neighbours (Å) after each atom.
Space group I-42d (No. 122)
Asymmetric unit:
Li 0.0000 0.0000 0.0000 (multiplicity 4)  2 Se 2.36
Be 0.1867 0.2500 0.6250 (multiplicity 8)  2 Se 2.31, 2 Be 2.53
Se 0.0000 0.0000 0.5000 (multiplicity 4)  4 Be 2.31, 2 Li 2.36

ΔE_f (raw) = 0.15 eV/atom